18
Lattice="-0.617 4.759 5.304 -0.456 -2.539 6.671 5.660 0.925 4.274" Properties=species:S:1:pos:R:3 comment="Ce2Ni12GeP3 | Alexandria via LeMat-Bulk | PBE | optimized geometry" dft_energy_ev_per_cell=-104.702 vol_a3_per_cell=273.5 pbc="T T T"
Ce 2.829 1.940 10.021
Ce 1.758 1.206 6.227
Ni 4.683 1.613 8.057
Ni 1.225 2.286 12.054
Ni 4.294 0.411 11.550
Ni 1.288 3.686 8.614
Ni 4.216 3.979 10.882
Ni 1.375 -0.261 9.353
Ni -0.096 1.533 8.192
Ni 3.361 0.860 4.195
Ni 0.293 2.734 4.698
Ni 3.299 -0.541 7.635
Ni 0.371 -0.834 5.367
Ni 3.212 3.407 6.895
Ge 0.000 0.000 0.000
P -0.309 2.380 2.652
P -0.228 -1.270 3.336
P 2.830 0.463 2.137



10
Lattice="-3.620 -2.212 -0.062 2.166 -3.565 0.777 -1.071 1.478 9.770" Properties=species:S:1:pos:R:3 comment="Ce2PaNi4Ge3 | Alexandria via LeMat-Bulk | PBE | optimized geometry" dft_energy_ev_per_cell=-64.251 vol_a3_per_cell=178.9 pbc="T T T"
Ce -2.052 -0.772 2.176
Ce 0.253 -0.638 7.952
Pa -1.263 -2.150 5.242
Ni -0.727 -2.889 0.357
Ni 0.000 0.000 0.000
Ni -2.502 -0.151 6.284
Ni 0.704 -1.260 3.844
Ge -0.536 0.739 4.885
Ge -2.754 0.196 8.579
Ge 0.956 -1.607 1.548



7
Lattice="4.134 0.000 0.000 2.067 3.580 0.000 2.067 1.193 9.155" Properties=species:S:1:pos:R:3 comment="CePa2Ni2Ge2 | Alexandria via LeMat-Bulk | PBE | optimized geometry" dft_energy_ev_per_cell=-49.124 vol_a3_per_cell=135.5 pbc="T T T"
Ce 0.000 0.000 0.000
Pa 2.067 1.193 5.384
Pa 6.201 3.580 3.771
Ni 4.134 2.387 2.142
Ni 4.134 2.387 7.013
Ge 6.201 3.580 7.277
Ge 2.067 1.193 1.878



9
Lattice="6.382 0.299 0.431 -2.801 5.742 -0.431 -2.801 -2.421 5.224" Properties=species:S:1:pos:R:3 comment="Ce2Pa2NiGe4 | Alexandria via LeMat-Bulk | PBE | optimized geometry" dft_energy_ev_per_cell=-58.311 vol_a3_per_cell=199.4 pbc="T T T"
Ce 0.390 3.850 1.198
Ce 0.390 -0.231 4.026
Pa -3.719 2.205 3.182
Pa -1.883 1.116 1.611
Ni 0.000 0.000 0.000
Ge -2.801 3.817 0.902
Ge -0.909 2.696 3.891
Ge -2.801 -0.496 3.891
Ge 1.689 0.924 1.334



18
Lattice="-5.357 0.371 -3.407 -3.622 -3.344 4.018 -2.444 5.002 3.074" Properties=species:S:1:pos:R:3 comment="Ce2Ni12Ge3Pd | Alexandria via LeMat-Bulk | PBE | optimized geometry" dft_energy_ev_per_cell=-102.332 vol_a3_per_cell=252.8 pbc="T T T"
Ce -7.474 1.328 2.412
Ce -3.949 0.701 1.274
Ni -5.681 3.325 2.992
Ni -7.964 -0.821 1.451
Ni -6.538 1.446 4.622
Ni -7.158 0.977 -0.294
Ni -7.387 3.264 0.989
Ni -6.278 -0.906 3.470
Ni -5.742 -1.296 0.694
Ni -3.459 2.850 2.235
Ni -4.885 0.584 -0.937
Ni -4.265 1.052 3.980
Ni -4.036 -1.235 2.697
Ni -5.145 2.936 0.215
Ge -2.679 0.186 -1.703
Ge -1.811 -1.672 2.009
Ge -1.222 2.501 1.537
Pd 0.000 0.000 0.000



10
Lattice="4.194 0.000 0.000 0.000 4.194 0.000 0.000 0.000 9.728" Properties=species:S:1:pos:R:3 comment="Ce2Ni3Ge4Pd | Alexandria via LeMat-Bulk | PBE | optimized geometry" dft_energy_ev_per_cell=-60.053 vol_a3_per_cell=171.1 pbc="T T T"
Ce 2.097 0.000 2.393
Ce 0.000 2.097 7.335
Ni 0.000 0.000 4.864
Ni 2.097 0.000 8.560
Ni 0.000 2.097 1.168
Ge 2.097 2.097 0.000
Ge 0.000 0.000 0.000
Ge 2.097 0.000 6.217
Ge 0.000 2.097 3.511
Pd 2.097 2.097 4.864



7
Lattice="-4.227 0.488 0.179 -2.141 -1.238 3.467 -0.923 8.693 5.150" Properties=species:S:1:pos:R:3 comment="CePm2Ni2Ge2 | Alexandria via LeMat-Bulk | PBE | optimized geometry" dft_energy_ev_per_cell=-40.477 vol_a3_per_cell=154.6 pbc="T T T"
Ce 0.000 0.000 0.000
Pm -1.360 5.435 3.717
Pm -5.931 2.508 5.079
Ni -4.027 1.133 3.149
Ni -3.265 6.811 5.647
Ge -5.403 6.444 6.811
Ge -1.888 1.500 1.985



10
Lattice="4.186 0.000 0.000 0.000 4.186 0.000 0.000 0.000 11.107" Properties=species:S:1:pos:R:3 comment="CePm2Ni3Ge4 | Alexandria via LeMat-Bulk | PBE | optimized geometry" dft_energy_ev_per_cell=-57.195 vol_a3_per_cell=194.7 pbc="T T T"
Ce 2.093 2.093 5.554
Pm 2.093 0.000 2.404
Pm 0.000 2.093 8.703
Ni 0.000 0.000 5.554
Ni 2.093 0.000 9.916
Ni 0.000 2.093 1.191
Ge 2.093 2.093 0.000
Ge 0.000 0.000 0.000
Ge 2.093 0.000 7.549
Ge 0.000 2.093 3.558



6
Lattice="4.184 0.000 0.000 -2.092 3.623 0.000 0.000 0.000 7.959" Properties=species:S:1:pos:R:3 comment="CePrNi2Ge2 | Alexandria via LeMat-Bulk | PBE | optimized geometry" dft_energy_ev_per_cell=-35.789 vol_a3_per_cell=120.6 pbc="T T T"
Ce 0.000 0.000 3.979
Pr 0.000 0.000 0.000
Ni 2.092 1.208 5.864
Ni 0.000 2.415 2.095
Ge 2.092 1.208 2.054
Ge 0.000 2.415 5.905



10
Lattice="-2.435 -3.315 -1.198 1.296 0.512 -4.051 7.731 -6.286 1.678" Properties=species:S:1:pos:R:3 comment="CePr2Ni4Ge3 | Alexandria via LeMat-Bulk | PBE | optimized geometry" dft_energy_ev_per_cell=-58.531 vol_a3_per_cell=185.5 pbc="T T T"
Ce 3.296 -4.545 -1.786
Pr 0.489 -3.046 -0.228
Pr 6.672 -4.642 -0.718
Ni -0.570 -1.401 -2.625
Ni 0.000 0.000 0.000
Ni 3.787 -5.727 0.487
Ni 3.374 -1.961 -1.434
Ge 3.866 -3.143 0.839
Ge 5.601 -7.202 0.881
Ge 1.561 -0.486 -1.828



12
Lattice="-3.293 4.175 2.071 -0.445 -3.234 5.812 4.854 4.341 -1.035" Properties=species:S:1:pos:R:3 comment="CeNiGePt3 | Alexandria via LeMat-Bulk | PBE | optimized geometry" dft_energy_ev_per_cell=-76.056 vol_a3_per_cell=216.4 pbc="T T T"
Ce 0.161 4.679 2.616
Ce 0.955 0.604 4.232
Ni 2.794 1.685 4.975
Ni -1.678 3.597 1.873
Ge 2.597 3.056 1.899
Ge -1.481 2.227 4.949
Pt 0.646 1.908 1.111
Pt -0.125 -0.906 1.629
Pt -1.967 -0.240 5.219
Pt -1.771 1.181 2.665
Pt -0.320 -2.328 4.183
Pt 0.470 3.375 5.737



10
Lattice="-3.544 3.068 2.677 -5.862 -1.533 -6.012 -5.940 -2.587 0.545" Properties=species:S:1:pos:R:3 comment="Ce2NiGePt6 | Alexandria via LeMat-Bulk | PBE | optimized geometry" dft_energy_ev_per_cell=-65.674 vol_a3_per_cell=193.7 pbc="T T T"
Ce -6.971 0.565 1.010
Ce -8.375 -1.618 -3.801
Ni 0.000 0.000 0.000
Ge -4.703 0.767 -1.668
Pt -6.246 -1.167 -1.480
Pt -12.934 -1.260 -2.034
Pt -11.141 -2.824 -3.389
Pt -4.205 1.771 0.599
Pt -2.412 0.208 -0.757
Pt -9.100 0.115 -1.310



18
Lattice="6.152 -1.332 -0.945 1.880 6.007 -0.945 1.880 1.094 5.982" Properties=species:S:1:pos:R:3 comment="Ce2Ni12Ge3Pt | Alexandria via LeMat-Bulk | PBE | optimized geometry" dft_energy_ev_per_cell=-102.936 vol_a3_per_cell=253.5 pbc="T T T"
Ce 6.540 3.807 2.700
Ce 3.373 1.963 1.392
Ni 4.820 2.806 4.609
Ni 7.019 4.086 0.336
Ni 4.917 5.280 3.745
Ni 6.970 1.585 1.124
Ni 7.019 1.668 3.745
Ni 4.820 5.278 1.124
Ni 5.092 2.964 -0.517
Ni 2.893 1.684 3.756
Ni 4.995 0.490 0.348
Ni 2.942 4.185 2.968
Ni 2.893 4.102 0.348
Ni 5.092 0.492 2.968
Ge 3.076 -0.666 -0.472
Ge 0.940 3.004 -0.472
Ge 0.940 0.547 2.991
Pt 0.000 0.000 0.000



10
Lattice="4.321 0.000 0.000 0.000 4.321 0.000 0.000 0.000 10.038" Properties=species:S:1:pos:R:3 comment="Ce2NiGe4Pt3 | Alexandria via LeMat-Bulk | PBE | optimized geometry" dft_energy_ev_per_cell=-62.729 vol_a3_per_cell=187.5 pbc="T T T"
Ce 2.161 0.000 2.573
Ce 0.000 2.161 7.464
Ni 2.161 2.161 5.019
Ge 2.161 2.161 0.000
Ge 0.000 0.000 0.000
Ge 2.161 0.000 6.272
Ge 0.000 2.161 3.766
Pt 0.000 0.000 5.019
Pt 2.161 0.000 8.739
Pt 0.000 2.161 1.299



18
Lattice="7.790 -0.190 -0.135 3.682 6.868 -0.135 3.682 2.143 6.526" Properties=species:S:1:pos:R:3 comment="Ce2NiGe3Pt12 | Alexandria via LeMat-Bulk | PBE | optimized geometry" dft_energy_ev_per_cell=-109.999 vol_a3_per_cell=358.4 pbc="T T T"
Ce 9.502 5.531 3.923
Ce 5.652 3.290 2.334
Ni 0.000 0.000 0.000
Ge 3.895 -0.095 -0.067
Ge 1.841 3.434 -0.067
Ge 1.841 1.072 3.263
Pt 7.514 4.374 5.623
Pt 11.341 6.601 2.189
Pt 9.294 7.763 5.506
Pt 9.582 3.199 2.269
Pt 11.341 4.248 5.506
Pt 7.514 6.753 2.269
Pt 7.640 4.447 0.634
Pt 3.814 2.220 4.068
Pt 5.860 1.058 0.750
Pt 5.572 5.622 3.988
Pt 3.814 4.573 0.750
Pt 7.640 2.068 3.988



10
Lattice="4.186 0.000 0.000 0.000 4.186 0.000 0.000 0.000 9.764" Properties=species:S:1:pos:R:3 comment="Ce2Ni3Ge4Pt | Alexandria via LeMat-Bulk | PBE | optimized geometry" dft_energy_ev_per_cell=-61.231 vol_a3_per_cell=171.1 pbc="T T T"
Ce 2.093 0.000 2.402
Ce 0.000 2.093 7.363
Ni 0.000 0.000 4.882
Ni 2.093 0.000 8.593
Ni 0.000 2.093 1.171
Ge 2.093 2.093 0.000
Ge 0.000 0.000 0.000
Ge 2.093 0.000 6.257
Ge 0.000 2.093 3.507
Pt 2.093 2.093 4.882



9
Lattice="3.814 0.000 0.000 0.000 3.814 0.000 0.000 0.000 8.969" Properties=species:S:1:pos:R:3 comment="CeNi5Ge2Pt | Alexandria via LeMat-Bulk | PBE | optimized geometry" dft_energy_ev_per_cell=-51.351 vol_a3_per_cell=130.5 pbc="T T T"
Ce 0.000 0.000 4.485
Ni 0.000 1.907 2.527
Ni 1.907 0.000 2.527
Ni 0.000 1.907 6.443
Ni 1.907 0.000 6.443
Ni 1.907 1.907 4.485
Ge 1.907 1.907 1.171
Ge 1.907 1.907 7.799
Pt 0.000 0.000 0.000



10
Lattice="-2.599 -3.234 0.916 3.200 -2.735 -0.575 2.378 0.783 9.511" Properties=species:S:1:pos:R:3 comment="Ce2PuNi4Ge3 | Alexandria via LeMat-Bulk | PBE | optimized geometry" dft_energy_ev_per_cell=-68.719 vol_a3_per_cell=177.5 pbc="T T T"
Ce -0.744 -1.434 2.681
Ce 3.422 -0.768 7.001
Pu 1.489 -2.593 4.926
Ni 0.300 -2.984 0.171
Ni 0.000 0.000 0.000
Ni 0.238 -1.110 6.610
Ni 2.440 -1.091 3.072
Ge 1.189 0.392 4.756
Ge 0.799 -0.926 8.853
Ge 1.879 -1.276 0.829



10
Lattice="4.208 0.000 0.000 0.000 4.208 0.000 0.000 0.000 10.669" Properties=species:S:1:pos:R:3 comment="Ce2PuNi3Ge4 | Alexandria via LeMat-Bulk | PBE | optimized geometry" dft_energy_ev_per_cell=-67.325 vol_a3_per_cell=188.9 pbc="T T T"
Ce 2.104 0.000 2.441
Ce 0.000 2.104 8.227
Pu 2.104 2.104 5.334
Ni 0.000 0.000 5.334
Ni 2.104 0.000 9.536
Ni 0.000 2.104 1.132
Ge 2.104 2.104 0.000
Ge 0.000 0.000 0.000
Ge 2.104 0.000 7.215
Ge 0.000 2.104 3.454



7
Lattice="4.050 0.000 0.000 2.025 3.507 0.000 2.025 1.169 8.766" Properties=species:S:1:pos:R:3 comment="CePu2Ni2Ge2 | Alexandria via LeMat-Bulk | PBE | optimized geometry" dft_energy_ev_per_cell=-57.913 vol_a3_per_cell=124.5 pbc="T T T"
Ce 0.000 0.000 0.000
Pu 2.025 1.169 4.776
Pu 6.075 3.507 3.990
Ni 4.050 2.338 2.416
Ni 4.050 2.338 6.350
Ge 6.075 3.507 6.874
Ge 2.025 1.169 1.892



10
Lattice="3.921 0.000 0.000 0.000 3.921 0.000 0.000 0.000 10.654" Properties=species:S:1:pos:R:3 comment="Ce2Ni4Ge3Rh | Alexandria via LeMat-Bulk | PBE | optimized geometry" dft_energy_ev_per_cell=-62.315 vol_a3_per_cell=163.8 pbc="T T T"
Ce 1.961 0.000 2.770
Ce 0.000 1.961 7.884
Ni 1.961 1.961 0.000
Ni 0.000 0.000 0.000
Ni 1.961 0.000 6.965
Ni 0.000 1.961 3.689
Ge 0.000 0.000 5.327
Ge 1.961 0.000 9.323
Ge 0.000 1.961 1.331
Rh 1.961 1.961 5.327



For each record above, in turn, the calculated total magnetization values are 0.000, 0.443, 0.162, 1.451, 0.000, 0.160, 0.318, 0.308, 0.000, 0.000, 0.083, 0.898, 0.000, 0.890, 0.000, 0.057, 0.000, 6.232, 5.679, 0.090, 0.000 μB/f.u..
For each record above, in turn, the calculated mass density values are 7.0, 8.9, 10.6, 9.1, 8.6, 8.3, 7.4, 7.6, 7.5, 7.8, 13.1, 13.6, 9.2, 10.8, 13.4, 9.1, 9.8, 9.1, 8.7, 11.9, 8.5 g cm⁻³.
For each record above, in turn, the calculated energy of formation values are -145.1, -591.0, -485.9, -355.6, -113.5, -717.9, -606.3, -594.7, -713.0, -606.0, -595.5, -716.3, -99.9, -848.8, -333.8, -750.9, -137.2, -554.2, -531.2, -359.7, -611.9 meV/atom.